1.
VASP calculation (PBE) on AcNiP2Ir after structural relaxation.

The structure belongs to space group I-4m2 (No. 119); the cell edges are 3.934, 3.934 and 11.838 Å and the angles 90.00°, 90.00° and 90.00°. The distinct sites, in fractional coordinates, are Ac at (0.000, 0.000, 0.000), Ni at (0.000, 0.500, 0.250), P at (0.000, 0.000, 0.357) and Ir at (0.000, 0.500, 0.750).

The total magnetization comes out at 0.0 μB per formula unit. As for the total energy: -6.781 eV per atom.

2.
VASP calculation (PBE) on RbSr3Cl after structural relaxation.

The structure belongs to space group Pm-3m (No. 221); the cell edges are 7.724, 7.724 and 7.724 Å and the angles 90.00°, 90.00° and 90.00°. The distinct sites, in fractional coordinates, are Rb at (0.000, 0.000, 0.000), Sr at (0.000, 0.000, 0.500) and Cl at (0.500, 0.500, 0.500).

As for the uncorrected formation energy: 452 meV per atom. The total magnetization comes out at 0.0 μB per formula unit. The offset from the most stable computed form comes out at 925 meV per atom.